(1)
LaTe2S | GGA-PBE | optimized geometry

## Properties
Calculated density in g cm⁻³: 5.61
Total magnetic moment in μB/cell: 0.000
Raw total energy in eV/cell: -14.7
Formation energy (no corrections) in eV/atom: 0.160
Space-group type: No. 166

Lattice parameters (Å, degrees): 9.9922 9.9922 9.9922 22.32 22.32 22.32
Last column: nearest neighbours and their distance in Å.
Atoms (fractional coordinates):
La (0.0000, 0.0000, 0.0000)  2 Te 3.11
Te (0.1066, 0.1066, 0.1066)  3 S 2.84, 1 La 3.11
Te (0.8934, 0.8934, 0.8934)  3 S 2.84, 1 La 3.11
S (0.5000, 0.5000, 0.5000)  6 Te 2.84

(2)
LaTeS2 | GGA-PBE | optimized geometry

## Properties
Calculated density in g cm⁻³: 4.78
Total magnetic moment in μB/cell: 0.000
Raw total energy in eV/cell: -39.1
Formation energy (no corrections) in eV/atom: -0.811
Space-group type: No. 122

Lattice parameters (Å, degrees): 9.6177 9.6177 9.6177 149.41 149.41 43.81
Last column: nearest neighbours and their distance in Å.
Atoms (fractional coordinates):
La (0.0000, 0.0000, 0.0000)  4 S 2.87
La (0.7500, 0.2500, 0.5000)  4 S 2.87
Te (0.2500, 0.7500, 0.5000)  4 S 2.86
Te (0.5000, 0.5000, 0.0000)  4 S 2.86
S (0.1276, 0.6250, 0.0026)  2 Te 2.86, 2 La 2.87
S (0.3750, 0.3776, 0.5026)  2 Te 2.86, 2 La 2.87
S (0.6224, 0.1250, 0.9974)  2 Te 2.86, 2 La 2.87
S (0.8750, 0.8724, 0.4974)  2 Te 2.86, 2 La 2.87

(3)
LaTe3S | GGA-PBE | optimized geometry

## Properties
Energy above the lowest structure with this stoichiometry in eV per atom: 0.7764
Calculated density in g cm⁻³: 3.85
Total magnetic moment in μB/cell: 3.726
Raw total energy in eV/cell: -16.9
Formation energy (no corrections) in eV/atom: 0.322
Space-group type: No. 221

Lattice parameters (Å, degrees): 6.2065 6.2065 6.2065 90.00 90.00 90.00
Last column: nearest neighbours and their distance in Å.
Atoms (fractional coordinates):
La (0.0000, 0.0000, 0.0000)  6 Te 3.10
Te (0.0000, 0.0000, 0.5000)  2 La 3.10
Te (0.0000, 0.5000, 0.0000)  2 La 3.10
Te (0.5000, 0.0000, 0.0000)  2 La 3.10
S (0.5000, 0.5000, 0.5000)  12 Te 4.39

(4)
LaTe2S | GGA-PBE | optimized geometry

## Properties
Calculated density in g cm⁻³: 5.92
Total magnetic moment in μB/cell: 0.000
Raw total energy in eV/cell: -38.8
Formation energy (no corrections) in eV/atom: -1.015
Space-group type: No. 122

Lattice parameters (Å, degrees): 13.5083 13.5083 13.5083 161.85 161.85 25.78
Last column: nearest neighbours and their distance in Å.
Atoms (fractional coordinates):
La (0.0000, 0.0000, 0.0000)  4 S 3.01
La (0.7500, 0.2500, 0.5000)  4 S 3.01
Te (0.1214, 0.6250, 0.9964)  4 Te 2.99-3.04
Te (0.3750, 0.3714, 0.4964)  4 Te 2.99-3.04
Te (0.6286, 0.1250, 0.0036)  4 Te 2.99-3.04
Te (0.8750, 0.8786, 0.5036)  4 Te 2.99-3.04
S (0.2500, 0.7500, 0.5000)  4 La 3.01
S (0.5000, 0.5000, 0.0000)  4 La 3.01